(1)
This record from Alexandria via LeMat-Bulk describes an optimized crystal structure of BaPr2Lu. The functional is PBE.

a b c (Å): 3.801 3.801 10.721
angles (deg): 90.00 90.00 90.00
Fractional positions:
Lu 0.500 0.500 0.000
Pr 0.000 0.000 0.214
Pr 0.000 0.000 0.786
Ba 0.500 0.500 0.500

Summary:
- Energy of formation: 0.112 eV/atom
- Total energy: -3.888 eV per atom
- V: 154.87 Å³/cell
- Energy above the lowest structure with this stoichiometry: 0.000 eV/atom

(2)
This record from Alexandria via LeMat-Bulk describes an optimized crystal structure of K2OsAu. The functional is PBE.

a b c (Å): 2.856 2.856 10.885
angles (deg): 90.00 90.00 89.54
Fractional positions:
K 0.000 0.000 0.495
K 0.000 0.000 0.005
Au 0.500 0.500 0.750
Os 0.500 0.500 0.250

Summary:
- Energy of formation: 0.840 eV/atom
- Total energy: -3.336 eV per atom
- V: 88.77 Å³/cell
- Energy above the lowest structure with this stoichiometry: 0.147 eV/atom

(3)
This record from Alexandria via LeMat-Bulk describes an optimized crystal structure of Ta2BeCl. The functional is PBE.

a b c (Å): 2.938 5.179 4.305
angles (deg): 90.00 90.00 90.00
Fractional positions:
Cl 0.000 0.500 0.500
Ta 0.000 0.000 0.000
Ta 0.500 0.500 0.000
Be 0.500 0.000 0.500

Summary:
- Total energy: -6.750 eV per atom
- V: 65.50 Å³/cell
- Raw formation energy: 0.570 eV per atom
- Energy above the lowest structure with this stoichiometry: 0.468 eV/atom

(4)
This record from Alexandria via LeMat-Bulk describes an optimized crystal structure of CaP2O2. The functional is PBE.

a b c (Å): 5.340 5.340 4.100
angles (deg): 90.00 90.00 90.00
Fractional positions:
O 0.500 0.500 0.500
O 0.000 0.000 0.500
Ca 0.000 0.000 0.000
P 0.500 0.000 0.000
P 0.000 0.500 0.000

Summary:
- Total energy: -3.346 eV per atom
- V: 116.93 Å³/cell
- Raw formation energy: 1.202 eV per atom
- Energy above the lowest structure with this stoichiometry: 2.069 eV/atom

(5)
This record from Alexandria via LeMat-Bulk describes an optimized crystal structure of La3AlSi. The functional is PBE.

a b c (Å): 4.254 7.706 9.071
angles (deg): 92.82 87.19 101.47
Fractional positions:
Al 0.794 0.667 0.770
Al 0.250 0.488 0.652
La 0.989 0.985 0.046
La 0.381 0.914 0.614
La 0.247 0.555 0.033
La 0.055 0.169 0.376
La 0.797 0.598 0.389
La 0.663 0.241 0.807
Si 0.625 0.291 0.144
Si 0.419 0.862 0.277

Summary:
- Total energy: -5.199 eV per atom
- V: 290.82 Å³/cell
- Raw formation energy: -0.410 eV per atom
- Energy above the lowest structure with this stoichiometry: 0.000 eV/atom

(6)
This record from Alexandria via LeMat-Bulk describes an optimized crystal structure of ScP3Rh. The functional is PBE.

a b c (Å): 4.796 4.796 4.796
angles (deg): 90.00 90.00 90.00
Fractional positions:
P 0.000 0.000 0.500
P 0.000 0.500 0.000
P 0.500 0.000 0.000
Rh 0.500 0.500 0.500
Sc 0.000 0.000 0.000

Summary:
- Energy of formation: 0.891 eV/atom
- Total energy: -5.092 eV per atom
- V: 110.33 Å³/cell
- Energy above the lowest structure with this stoichiometry: 0.690 eV/atom

(7)
This record from Alexandria via LeMat-Bulk describes an optimized crystal structure of MnReTc. The functional is PBE.

a b c (Å): 6.631 6.464 2.655
angles (deg): 81.86 74.79 23.35
Fractional positions:
Re 0.339 0.339 0.661
Tc 0.661 0.661 0.339
Mn 0.000 0.000 0.000

Summary:
- Energy of formation: 0.185 eV/atom
- Total energy: -10.476 eV per atom
- V: 42.02 Å³/cell
- Energy above the lowest structure with this stoichiometry: 0.103 eV/atom

(8)
This record from Alexandria via LeMat-Bulk describes an optimized crystal structure of Sr2UPN5. The functional is PBE.

a b c (Å): 3.454 7.331 11.566
angles (deg): 90.00 90.00 103.62
Fractional positions:
Sr 0.909 0.817 0.155
Sr 0.091 0.183 0.655
Sr 0.866 0.733 0.843
Sr 0.134 0.267 0.343
N 0.504 0.008 0.795
N 0.041 0.083 0.991
N 0.677 0.354 0.915
N 0.295 0.591 0.657
N 0.335 0.671 0.014
N 0.323 0.646 0.415
N 0.665 0.329 0.514
N 0.496 0.992 0.295
N 0.959 0.917 0.491
N 0.705 0.409 0.157
P 0.438 0.877 0.410
P 0.562 0.123 0.910
U 0.801 0.602 0.545
U 0.199 0.398 0.045

Summary:
- Total energy: -7.729 eV per atom
- V: 284.64 Å³/cell
- Raw formation energy: -0.875 eV per atom